Density functional theory data (PBE with a Hubbard U) for a relaxed structure of Tl2AgMoF8.

Lattice parameters (Å, degrees): 5.115 6.000 8.604 89.04 89.24 83.79
Fractional positions:
Tl1 0.006 0.001 0.230
Tl2 0.994 0.999 0.770
Ag1 0.500 0.500 0.000
Mo1 0.500 0.500 0.500
F1 0.167 0.681 0.503
F2 0.200 0.774 0.000
F3 0.394 0.301 0.664
F4 0.396 0.310 0.338
F5 0.604 0.690 0.662
F6 0.606 0.699 0.336
F7 0.800 0.226 0.000
F8 0.833 0.319 0.497

Properties
* magnetic moment: 0.0786 μB per atom
* crystal system: triclinic
* E: -4.481 eV per atom